Below is crystalline ReTc2S2 at its relaxed geometry, with properties calculated at the GGA-PBE level.

Properties
Fermi-level density of states: 10.43 states/eV/cell
formation energy (no corrections): 0.5726 eV/atom
magnetic moment: 0.00 Bohr magnetons per cell

Lattice parameters (Å, degrees): 6.9954 6.9954 2.9378 90.00 90.00 90.00
Atoms (fractional coordinates):
Re  0.0000  0.0000  0.0000
Re  0.5000  0.5000  0.0000
S  0.1456  0.6456  0.5000
S  0.6456  0.8544  0.5000
S  0.8544  0.3544  0.5000
S  0.3544  0.1456  0.5000
Tc  0.3557  0.8557  0.0000
Tc  0.8557  0.6443  0.0000
Tc  0.6443  0.1443  0.0000
Tc  0.1443  0.3557  0.0000